LaIn3Ni2 | PBE-GGA | relaxed

Summary:
**N(E_F)**: 0.608 states/eV/atom
**Total DFT energy (no corrections)**: -4.426 eV/atom
**Space group**: C2/m, No. 12
**Crystal system**: monoclinic

Cell and atoms, written as POSCAR:
```
LaIn3Ni2
1.0
-0.376 4.285 0.945
-8.317 -3.162 0.767
5.230 -1.571 9.202
La In Ni
3 9 6
Cartesian
0.987 -1.427 6.864 La
-4.450 0.980 4.050 La
0.000 0.000 0.000 La
1.069 -0.626 3.264 In
-4.531 0.178 7.650 In
-1.715 -1.066 4.151 In
-1.748 0.618 6.763 In
-1.356 1.571 2.598 In
-2.107 -2.019 8.316 In
2.427 1.357 5.074 In
-5.361 -0.740 1.221 In
1.899 0.292 9.693 In
-2.748 -0.614 1.692 Ni
-0.715 0.166 9.222 Ni
-6.991 -1.329 3.246 Ni
3.528 0.881 7.668 Ni
-3.322 -1.628 6.059 Ni
-0.141 1.180 4.855 Ni
```


La4InNi | PBE-GGA | relaxed

Summary:
**N(E_F)**: 0.965 states/eV/atom
**Space group**: C2/c, No. 15
**Polymorph energy (0 for the lowest one)**: 24.0 meV per atom
**Crystal system**: monoclinic

Cell and atoms, written as POSCAR:
```
La4InNi
1.0
-3.841 4.762 -1.184
-4.613 -5.969 3.988
5.923 3.559 4.983
La In Ni
8 2 2
Cartesian
4.012 2.114 4.971 La
-2.488 1.732 4.960 La
0.810 0.560 6.541 La
-1.935 -1.645 6.376 La
-0.595 3.997 1.411 La
-3.341 1.792 1.246 La
-0.042 0.620 2.827 La
-6.542 0.238 2.817 La
-2.873 -1.109 3.179 In
0.343 3.460 4.608 In
-0.955 1.199 -0.277 Ni
-1.575 1.152 8.064 Ni
```


LaInNi2 | PBE-GGA | relaxed

Summary:
**N(E_F)**: 0.564 states/eV/atom
**Total DFT energy (no corrections)**: -5.227 eV/atom
**Space group**: Pmma, No. 51
**Crystal system**: orthorhombic

Cell and atoms, written as POSCAR:
```
LaInNi2
1.0
-3.429 0.843 -2.159
-1.393 -5.097 0.223
-3.553 1.239 6.127
La In Ni
2 2 4
Cartesian
-2.939 -0.371 4.523 La
-2.007 -3.487 1.826 La
-5.099 -2.585 3.123 In
-3.276 -0.430 1.068 In
-4.212 -2.718 5.629 Ni
-0.734 -1.140 0.720 Ni
-2.411 -2.127 -0.968 Ni
-1.714 0.421 -1.079 Ni
```


La4InNi | PBE-GGA | relaxed

Summary:
**N(E_F)**: 1.089 states/eV/atom
**Space group**: P2_1/m, No. 11
**Polymorph energy (0 for the lowest one)**: 0.0 meV per atom
**Crystal system**: monoclinic

Cell and atoms, written as POSCAR:
```
La4InNi
1.0
-1.782 2.640 -5.018
-6.622 0.733 2.737
3.383 5.800 6.631
La In Ni
8 2 2
Cartesian
-1.110 4.378 0.879 La
-3.910 4.795 3.471 La
0.142 7.097 3.179 La
-5.162 2.076 1.171 La
-0.766 3.988 -2.771 La
-1.049 4.830 5.796 La
-3.972 4.343 -1.446 La
-4.254 5.185 7.121 La
-1.925 1.452 -0.308 In
-3.096 7.721 4.658 In
-0.136 3.874 3.372 Ni
-4.885 5.299 0.978 Ni
```